Record 1
This record from the Alexandria database describes a relaxed Ac3PbAu crystal. The functional is GGA-PBE.

abc: 4.7934 7.7122 10.3359
angles: 90.00 90.00 90.00
Element x y z (fractional)
Ac (0.7500, 0.5104, 0.6651)
Ac (0.7500, 0.7500, 0.0722)
Ac (0.2500, 0.2500, 0.9278)
Ac (0.7500, 0.9896, 0.6651)
Ac (0.2500, 0.4896, 0.3349)
Ac (0.2500, 0.0104, 0.3349)
Pb (0.2500, 0.7500, 0.8432)
Pb (0.7500, 0.2500, 0.1568)
Au (0.2500, 0.2500, 0.5943)
Au (0.7500, 0.7500, 0.4057)

Its symmetry is Pmmn. The formation energy comes out at -0.511 eV/atom.


Record 2
This record from the Alexandria database describes a relaxed BeW crystal. The functional is GGA-PBE.

abc: 4.3763 4.3763 6.8098
angles: 90.00 90.00 120.00
Element x y z (fractional)
Be (0.3333, 0.6667, 0.4070)
Be (0.6667, 0.3333, 0.5930)
Be (0.3333, 0.6667, 0.0930)
Be (0.6667, 0.3333, 0.9070)
W (0.6667, 0.3333, 0.2500)
W (0.3333, 0.6667, 0.7500)
W (0.0000, 0.0000, 0.2500)
W (0.0000, 0.0000, 0.7500)

Its symmetry is P6_3/mmc. The value obtained for the offset from the most stable computed form is 1101 meV/atom. The formation energy comes out at 0.873 eV/atom.


Record 3
This record from the Alexandria database describes a relaxed CoSbTe2P crystal. The functional is GGA-PBE.

abc: 5.2833 5.2833 4.9815
angles: 90.00 90.00 90.00
Element x y z (fractional)
P (0.0000, 0.0000, 0.0000)
Co (0.5000, 0.5000, 0.5000)
Sb (0.0000, 0.0000, 0.5000)
Te (0.0000, 0.5000, 0.0000)
Te (0.5000, 0.0000, 0.0000)

Its symmetry is P4/mmm. The value obtained for the offset from the most stable computed form is 380 meV/atom. As for the uncorrected formation energy: 5.13 eV/f.u.


Record 4
This record from the Alexandria database describes a relaxed Co2TcTe crystal. The functional is GGA-PBE.

abc: 8.3017 8.3017 8.3017
angles: 20.40 20.40 20.40
Element x y z (fractional)
Tc (0.2500, 0.2500, 0.2500)
Te (0.7500, 0.7500, 0.7500)
Co (0.9961, 0.9961, 0.9961)
Co (0.5039, 0.5039, 0.5039)

Its symmetry is R-3m. As for the uncorrected formation energy: 2.35 eV/f.u.


Record 5
This record from the Alexandria database describes a relaxed Zr2CrPb crystal. The functional is GGA-PBE.

abc: 7.7065 7.7065 6.1662
angles: 51.33 51.33 90.00
Element x y z (fractional)
Zr (0.5733, 0.1250, 0.2500)
Zr (0.8750, 0.8233, 0.7500)
Zr (0.1767, 0.6250, 0.2500)
Zr (0.3750, 0.4267, 0.7500)
Pb (0.7500, 0.2500, 0.5000)
Pb (0.0000, 0.0000, 0.0000)
Cr (0.2500, 0.7500, 0.5000)
Cr (0.5000, 0.5000, 0.0000)

Its symmetry is I-42d. The formation energy comes out at 0.512 eV/atom.


Record 6
This record from the Alexandria database describes a relaxed Pd4SI crystal. The functional is GGA-PBE.

abc: 5.3437 5.1209 9.3433
angles: 107.73 108.38 83.87
Element x y z (fractional)
Pd (0.1780, 0.3118, 0.4102)
Pd (0.8662, 0.2206, 0.9522)
Pd (0.5860, 0.7317, 0.9522)
Pd (0.7322, 0.0984, 0.4102)
Pd (0.8220, 0.6882, 0.5898)
Pd (0.4140, 0.2683, 0.0478)
Pd (0.1338, 0.7794, 0.0478)
Pd (0.2678, 0.9016, 0.5898)
S (0.1616, 0.9116, 0.8231)
S (0.8384, 0.0884, 0.1769)
I (0.5905, 0.3405, 0.6810)
I (0.4095, 0.6595, 0.3190)

Its symmetry is C2/c. As for the uncorrected formation energy: -0.04 eV/f.u.


Record 7
This record from the Alexandria database describes a relaxed RbSi2Os2 crystal. The functional is GGA-PBE.

abc: 4.2700 4.2700 6.9594
angles: 72.13 72.13 90.00
Element x y z (fractional)
Si (0.3293, 0.3293, 0.3413)
Si (0.6707, 0.6707, 0.6587)
Os (0.7500, 0.2500, 0.5000)
Os (0.2500, 0.7500, 0.5000)
Rb (0.0000, 0.0000, 0.0000)

Its symmetry is I4/mmm. The value obtained for the offset from the most stable computed form is 0 meV/atom. As for the uncorrected formation energy: 0.10 eV/f.u.


Record 8
This record from the Alexandria database describes a relaxed CeUAsP crystal. The functional is GGA-PBE.

abc: 3.9543 3.9542 7.5957
angles: 90.00 105.09 119.99
Element x y z (fractional)
U (0.9718, 0.3839, 0.3709)
As (0.1385, 0.9672, 0.1209)
P (0.4656, 0.1308, 0.6117)
Ce (0.3020, 0.5489, 0.8662)

Its symmetry is R3m. The formation energy comes out at -0.955 eV/atom.


Record 9
This record from the Alexandria database describes a relaxed Cs2Na5In5 crystal. The functional is GGA-PBE.

abc: 5.5783 6.5429 11.7059
angles: 90.00 90.00 90.00
Element x y z (fractional)
Na (0.0000, 0.0000, 0.1894)
Na (0.5000, 0.0000, 0.0000)
Na (0.0000, 0.5000, 0.3325)
Na (0.0000, 0.5000, 0.6675)
Na (0.0000, 0.0000, 0.8106)
In (0.5000, 0.2450, 0.2670)
In (0.5000, 0.2450, 0.7330)
In (0.5000, 0.7550, 0.7330)
In (0.5000, 0.7550, 0.2670)
In (0.5000, 0.5000, 0.5000)
Cs (0.0000, 0.0000, 0.5000)
Cs (0.0000, 0.5000, 0.0000)

Its symmetry is Pmmm. The formation energy comes out at -0.055 eV/atom.


Record 10
This record from the Alexandria database describes a relaxed AcY7Er2 crystal. The functional is GGA-PBE.

abc: 6.2369 9.5324 9.5323
angles: 141.85 70.94 102.47
Element x y z (fractional)
Y (0.4994, 0.6947, 0.7978)
Y (0.9992, 0.3970, 0.6022)
Y (0.9966, 0.7991, 0.2028)
Y (0.0008, 0.6030, 0.3978)
Y (0.5006, 0.3053, 0.2022)
Y (0.5000, 0.5000, 0.0000)
Y (0.0034, 0.2009, 0.7972)
Ac (0.0000, 0.0000, 0.0000)
Er (0.5041, 0.9012, 0.5971)
Er (0.4959, 0.0988, 0.4029)

Its symmetry is P-1. The formation energy comes out at 0.038 eV/atom.


Record 11
This record from the Alexandria database describes a relaxed Na2SrCl2 crystal. The functional is GGA-PBE.

abc: 7.8845 7.8845 5.8184
angles: 90.00 90.00 90.00
Element x y z (fractional)
Na (0.3003, 0.8003, 0.5000)
Na (0.1997, 0.3003, 0.5000)
Na (0.8003, 0.6997, 0.5000)
Na (0.6997, 0.1997, 0.5000)
Cl (0.6796, 0.1796, 0.0000)
Cl (0.8204, 0.6796, 0.0000)
Cl (0.1796, 0.3204, 0.0000)
Cl (0.3204, 0.8204, 0.0000)
Sr (0.5000, 0.5000, 0.0000)
Sr (0.0000, 0.0000, 0.0000)

Its symmetry is P4/mbm. The value obtained for the offset from the most stable computed form is 0 meV/atom. As for the uncorrected formation energy: -6.46 eV/f.u.


Record 12
This record from the Alexandria database describes a relaxed Np3USb2 crystal. The functional is GGA-PBE.

abc: 5.6767 7.4121 8.4454
angles: 115.96 109.64 90.00
Element x y z (fractional)
U (0.2546, 0.7500, 0.0000)
U (0.7454, 0.2500, 0.0000)
Sb (0.6553, 0.6551, 0.3105)
Sb (0.3447, 0.3449, 0.6895)
Sb (0.6552, 0.1551, 0.3105)
Sb (0.3448, 0.8449, 0.6895)
Np (0.1670, 0.4072, 0.3133)
Np (0.8330, 0.5928, 0.6867)
Np (0.8537, 0.0928, 0.6867)
Np (0.7383, 0.7500, 0.0000)
Np (0.1463, 0.9072, 0.3133)
Np (0.2617, 0.2500, 0.0000)

Its symmetry is C2/c. As for the uncorrected formation energy: 0.82 eV/f.u.


| no. | VASP energy (eV per atom) |
| --- | --- |
| 1 | -4.373 |
| 2 | -7.467 |
| 3 | -3.559 |
| 4 | -6.342 |
| 5 | -7.095 |
| 6 | -4.414 |
| 7 | -6.834 |
| 8 | -7.775 |
| 9 | -1.888 |
| 10 | -5.810 |
| 11 | -2.895 |
| 12 | -9.589 |